# 1
Crystalline CaU2RhN4 at its relaxed geometry, computed with GGA-PBE.

Calculated values
The final energy comes out at -9.168 eV per atom. The value obtained for the formation energy without anion corrections is -1014 meV per atom.

Lattice parameters (Å, degrees): 3.4949 11.3052 11.7766 90.00 90.00 90.00
Space group Cmcm (No. 63)
Asymmetric unit:
Ca (0.0000, 0.0998, 0.2500) x4
U (0.0000, 0.3710, 0.0597) x8
Rh (0.0000, 0.1633, 0.7500) x4
N (0.0000, 0.0000, 0.0000) x4
N (0.0000, 0.2611, 0.5925) x8
N (0.0000, 0.4461, 0.2500) x4


# 2
Crystalline Ca3U3RhN8 at its relaxed geometry, computed with GGA-PBE.

Calculated values
The final energy comes out at -8.590 eV per atom. The value obtained for the formation energy without anion corrections is -1001 meV per atom.

Lattice parameters (Å, degrees): 6.7710 6.7710 16.9068 90.00 90.00 120.00
Space group R-3m (No. 166, hexagonal axes)
Asymmetric unit:
Ca (0.0000, 0.5000, 0.0000) x9
U (0.0000, 0.5000, 0.5000) x9
Rh (0.0000, 0.0000, 0.5000) x3
N (0.0000, 0.0000, 0.2412) x6
N (0.0012, 0.5006, 0.7669) x18